The following is a GGA-PBE calculation of Dy3Ag2Pd8 after structural relaxation, from the Alexandria database.

Cell lengths 5.3460, 5.3460, 30.6087 Å; angles 90.00, 90.00, 120.00 degrees
Space group R-3m (No. 166, hexagonal axes)
Symmetry-distinct sites (fractional):
Dy 0.0000 0.0000 0.0000 [3 per cell]
Dy 0.0000 0.0000 0.1884 [6 per cell]
Ag 0.0000 0.0000 0.3621 [6 per cell]
Pd 0.0000 0.0000 0.2770 [6 per cell]
Pd 0.0025 0.5012 0.7696 [18 per cell]

Results
formation energy from the elements	-455	meV/atom


The following is a GGA-PBE calculation of Dy3Ag2Pd2 after structural relaxation, from the Alexandria database.

Cell lengths 3.9906, 21.5021, 3.6829 Å; angles 90.00, 90.00, 90.00 degrees
Space group Cmmm (No. 65)
Symmetry-distinct sites (fractional):
Dy 0.0000 0.0000 0.0000 [2 per cell]
Dy 0.0000 0.1672 0.0000 [4 per cell]
Ag 0.0000 0.4263 0.5000 [4 per cell]
Pd 0.0000 0.2932 0.5000 [4 per cell]

Results
formation energy from the elements	-574	meV/atom


The following is a GGA-PBE calculation of Dy3Ag2Pd after structural relaxation, from the Alexandria database.

Cell lengths 3.5843, 3.5843, 10.8574 Å; angles 90.00, 90.00, 90.00 degrees
Space group P4/mmm (No. 123)
Symmetry-distinct sites (fractional):
Dy 0.0000 0.0000 0.0000 [1 per cell]
Dy 0.0000 0.0000 0.3433 [2 per cell]
Ag 0.5000 0.5000 0.1692 [2 per cell]
Pd 0.5000 0.5000 0.5000 [1 per cell]

Results
formation energy from the elements	-510	meV/atom


The following is a GGA-PBE calculation of DyAg2Pd9 after structural relaxation, from the Alexandria database.

Cell lengths 4.0526, 4.0526, 12.0596 Å; angles 90.00, 90.00, 90.00 degrees
Space group P4/mmm (No. 123)
Symmetry-distinct sites (fractional):
Dy 0.0000 0.0000 0.0000 [1 per cell]
Ag 0.0000 0.0000 0.3380 [2 per cell]
Pd 0.0000 0.5000 0.1729 [4 per cell]
Pd 0.0000 0.5000 0.5000 [2 per cell]
Pd 0.5000 0.5000 0.0000 [1 per cell]
Pd 0.5000 0.5000 0.3362 [2 per cell]

Results
formation energy from the elements	-291	meV/atom


The following is a GGA-PBE calculation of Dy3Ag2Pd3 after structural relaxation, from the Alexandria database.

Cell lengths 8.4537, 8.4537, 5.6324 Å; angles 90.00, 90.00, 120.00 degrees
Space group P6_3/mcm (No. 193)
Symmetry-distinct sites (fractional):
Dy 0.0000 0.2826 0.2500 [6 per cell]
Ag 0.3333 0.6667 0.0000 [4 per cell]
Pd 0.0000 0.3785 0.7500 [6 per cell]

Results
formation energy from the elements	-615	meV/atom


The following is a GGA-PBE calculation of Dy4AgPd12 after structural relaxation, from the Alexandria database.

Cell lengths 8.5373, 8.5373, 8.5373 Å; angles 90.00, 90.00, 90.00 degrees
Space group Im-3m (No. 229)
Symmetry-distinct sites (fractional):
Dy 0.2500 0.2500 0.2500 [8 per cell]
Ag 0.0000 0.0000 0.0000 [2 per cell]
Pd 0.0000 0.0000 0.3017 [12 per cell]
Pd 0.0000 0.2500 0.5000 [12 per cell]

Results
formation energy from the elements	-741	meV/atom


The following is a GGA-PBE calculation of DyAg2Pd5 after structural relaxation, from the Alexandria database.

Cell lengths 7.1491, 7.1491, 11.1079 Å; angles 90.00, 90.00, 90.00 degrees
Space group I4/mcm (No. 140)
Symmetry-distinct sites (fractional):
Dy 0.0000 0.0000 0.2500 [4 per cell]
Ag 0.1486 0.3514 0.0000 [8 per cell]
Pd 0.0000 0.0000 0.0000 [4 per cell]
Pd 0.1446 0.3554 0.3345 [16 per cell]

Results
formation energy from the elements	-295	meV/atom


The following is a GGA-PBE calculation of Dy6AgPd5 after structural relaxation, from the Alexandria database.

Cell lengths 7.2732, 11.4010, 7.2048 Å; angles 90.00, 104.53, 90.00 degrees
Space group C2/m (No. 12)
Symmetry-distinct sites (fractional):
Dy 0.2044 0.0000 0.2117 [4 per cell]
Dy 0.2218 0.1773 0.7189 [8 per cell]
Ag 0.0000 0.5000 0.0000 [2 per cell]
Pd 0.0000 0.0000 0.5000 [2 per cell]
Pd 0.0000 0.1970 0.0000 [4 per cell]
Pd 0.0000 0.3714 0.5000 [4 per cell]

Results
formation energy from the elements	-653	meV/atom


The following is a GGA-PBE calculation of DyAg2Pd8 after structural relaxation, from the Alexandria database.

Cell lengths 8.2224, 10.8404, 4.3715 Å; angles 90.00, 90.00, 90.00 degrees
Space group Cmmm (No. 65)
Symmetry-distinct sites (fractional):
Dy 0.0000 0.0000 0.0000 [2 per cell]
Ag 0.0000 0.3781 0.5000 [4 per cell]
Pd 0.0000 0.2478 0.0000 [4 per cell]
Pd 0.1670 0.5000 0.0000 [4 per cell]
Pd 0.1700 0.1349 0.5000 [8 per cell]

Results
formation energy from the elements	-117	meV/atom


The following is a GGA-PBE calculation of Dy2Ag2Pd after structural relaxation, from the Alexandria database.

Cell lengths 6.4645, 12.6227, 5.6211 Å; angles 90.00, 90.00, 90.00 degrees
Space group Ibam (No. 72)
Symmetry-distinct sites (fractional):
Dy 0.2025 0.1657 0.0000 [8 per cell]
Ag 0.1508 0.4097 0.0000 [8 per cell]
Pd 0.0000 0.0000 0.2500 [4 per cell]

Results
formation energy from the elements	-379	meV/atom


The following is a GGA-PBE calculation of DyAgPd14 after structural relaxation, from the Alexandria database.

Cell lengths 5.6529, 5.6529, 8.0554 Å; angles 90.00, 90.00, 90.00 degrees
Space group P4/mmm (No. 123)
Symmetry-distinct sites (fractional):
Dy 0.0000 0.0000 0.0000 [1 per cell]
Ag 0.5000 0.5000 0.0000 [1 per cell]
Pd 0.0000 0.0000 0.5000 [1 per cell]
Pd 0.0000 0.5000 0.0000 [2 per cell]
Pd 0.0000 0.5000 0.5000 [2 per cell]
Pd 0.2510 0.2510 0.2556 [8 per cell]
Pd 0.5000 0.5000 0.5000 [1 per cell]

Results
formation energy from the elements	-203	meV/atom


The following is a GGA-PBE calculation of DyAg2Pd8 after structural relaxation, from the Alexandria database.

Cell lengths 7.4152, 14.0984, 4.9209 Å; angles 90.00, 131.54, 90.00 degrees
Space group C2/m (No. 12)
Symmetry-distinct sites (fractional):
Dy 0.0000 0.0000 0.0000 [2 per cell]
Ag 0.0000 0.3170 0.5000 [4 per cell]
Pd 0.0000 0.1941 0.0000 [4 per cell]
Pd 0.0058 0.5000 0.2570 [4 per cell]
Pd 0.2395 0.1369 0.7419 [8 per cell]

Results
formation energy from the elements	-203	meV/atom


Question: Which of these has the highest formation energy from the elements?
Answer: number 9


Please write out number 3 again, unchanged.
The following is a GGA-PBE calculation of Dy3Ag2Pd after structural relaxation, from the Alexandria database.

Cell lengths 3.5843, 3.5843, 10.8574 Å; angles 90.00, 90.00, 90.00 degrees
Space group P4/mmm (No. 123)
Symmetry-distinct sites (fractional):
Dy 0.0000 0.0000 0.0000 [1 per cell]
Dy 0.0000 0.0000 0.3433 [2 per cell]
Ag 0.5000 0.5000 0.1692 [2 per cell]
Pd 0.5000 0.5000 0.5000 [1 per cell]

Results
formation energy from the elements	-510	meV/atom


Question: formation energy from the elements of number 9 (DyAg2Pd8)?
Answer: -117 meV/atom